Compound: CuTcSb2
Source: Alexandria via LeMat-Bulk
Functional: PBE
Structure: relaxed

a b c (Å): 4.570 4.570 5.382
angles (deg): 81.13 81.13 43.30
Element x y z (fractional)
Cu  0.250  0.250  0.250
Sb  0.015  0.015  0.987
Sb  0.485  0.485  0.513
Tc  0.750  0.750  0.750

The value obtained for the uncorrected formation energy is 0.29 eV/atom. Its final energy is -5.3824 eV per atom. As for the space group: C2/m. Its density is 8.85 g/cm³. As for the energy relative to the lowest polymorph listed for this composition: 0.186 eV per atom.